Material: FeAgBrF2
Method: DFT, PBE+U
State: relaxed

## Properties
Raw total energy in eV/atom: -4.04
Calculated density in Mg/m³: 5.066

Lattice parameters (Å, degrees): 4.004 4.004 5.759 90.00 90.00 90.00
Atoms (fractional coordinates):
Fe  0.000  0.000  0.000
Ag  0.500  0.500  0.500
Br  0.000  0.000  0.500
F  0.000  0.500  0.000
F  0.500  0.000  0.000